Record 1
PPdWCl2: optimized geometry, PBEsol.

extended XYZ file:
```
5
Lattice="4.535 0.000 0.000 0.000 4.535 0.000 0.000 0.000 4.900" Properties=species:S:1:pos:R:3 pbc="T T T"
P 0.000 0.000 0.000
Pd 0.000 0.000 2.450
W 2.268 2.268 0.000
Cl 0.000 2.268 2.450
Cl 2.268 0.000 2.450
```

Output
Space-group type: No. 123
Calculated total energy: -4.74 eV per atom

---

Record 2
Li7BiO6: optimized geometry, PBEsol.

extended XYZ file:
```
14
Lattice="5.453 0.000 0.000 2.662 4.825 0.000 2.570 1.628 5.130" Properties=species:S:1:pos:R:3 pbc="T T T"
Li 0.000 0.000 0.000
Li 4.080 4.858 3.900
Li 3.191 3.078 2.328
Li 2.734 1.685 0.034
Li 4.523 1.623 3.788
Li 5.034 2.880 0.032
Li 6.284 1.501 1.872
Bi 6.115 4.653 2.014
O 2.585 1.382 3.195
O 4.500 4.797 0.605
O 5.042 3.314 3.234
O 4.419 1.350 0.873
O 7.835 4.728 3.238
O 7.009 3.157 0.748
```

Output
Space-group type: No. 1
Calculated total energy: -5.25 eV per atom

---

Record 3
Mg2CdAs: optimized geometry, PBEsol.

extended XYZ file:
```
4
Lattice="3.237 0.000 0.000 0.000 3.751 0.000 -0.007 0.000 6.485" Properties=species:S:1:pos:R:3 pbc="T T T"
Mg 0.000 0.000 1.719
Mg 3.230 0.000 4.765
Cd 1.618 1.876 0.000
As 1.615 1.876 3.242
```

Output
Space-group type: No. 10
Formation energy from the elements: -0.2099 eV per atom
Calculated total energy: -2.64 eV per atom

---

Record 4
ZrAgBr4: optimized geometry, PBEsol.

extended XYZ file:
```
6
Lattice="0.000 4.178 4.178 4.178 0.000 4.178 4.178 4.178 0.000" Properties=species:S:1:pos:R:3 pbc="T T T"
Zr 0.000 0.000 0.000
Ag 2.089 2.089 2.089
Br 5.222 3.135 3.135
Br 3.135 5.222 3.135
Br 3.135 3.135 5.222
Br 5.222 5.222 5.222
```

Output
Space-group type: No. 216
Calculated total energy: -2.66 eV per atom

---

Record 5
Ba3Sn2O7: optimized geometry, PBEsol.

extended XYZ file:
```
24
Lattice="10.757 -2.936 0.000 10.757 2.936 0.000 0.000 0.000 5.872" Properties=species:S:1:pos:R:3 pbc="T T T"
Ba 6.777 1.467 4.404
Ba 10.757 1.468 4.404
Ba 14.736 1.467 4.404
Ba 6.777 -1.467 1.468
Ba 10.757 -1.468 1.468
Ba 14.736 -1.467 1.468
Sn 8.681 1.468 1.468
Sn 12.833 1.468 1.468
Sn 8.681 -1.468 4.404
Sn 12.833 -1.468 4.404
O 6.618 1.464 1.468
O 2.053 0.000 0.000
O 2.053 0.000 2.936
O 10.757 1.474 1.468
O 8.711 0.000 0.000
O 8.711 0.000 2.936
O 14.896 1.464 1.468
O 6.618 -1.464 4.404
O 12.803 0.000 0.000
O 12.803 0.000 2.936
O 10.757 -1.474 4.404
O 19.461 0.000 0.000
O 19.461 0.000 2.936
O 14.896 -1.464 4.404
```

Output
Space-group type: No. 63
Calculated total energy: -6.63 eV per atom

---

Record 6
Ni2WI: optimized geometry, PBEsol.

extended XYZ file:
```
4
Lattice="0.000 3.106 3.106 3.106 0.000 3.106 3.106 3.106 0.000" Properties=species:S:1:pos:R:3 pbc="T T T"
Ni 1.553 1.553 1.553
Ni 4.659 4.659 4.659
W 0.000 0.000 0.000
I 3.106 3.106 3.106
```

Output
Space-group type: No. 225
Calculated total energy: -5.88 eV per atom

---

Record 7
Li4MnCr3O8: optimized geometry, PBEsol.

extended XYZ file:
```
16
Lattice="5.078 -2.886 0.000 5.078 2.886 0.000 -3.239 0.000 4.774" Properties=species:S:1:pos:R:3 pbc="T T T"
Li 0.000 0.000 0.000
Li 0.919 1.443 2.387
Li 0.919 -1.443 2.387
Li 5.078 0.000 0.000
Mn -1.620 0.000 2.387
Cr 2.539 1.443 0.000
Cr 2.539 -1.443 0.000
Cr 3.458 0.000 2.387
O 4.115 1.481 1.224
O 2.801 1.481 3.550
O 0.128 0.000 3.703
O 1.862 0.000 1.187
O 5.053 0.000 3.587
O 6.788 0.000 1.072
O 4.115 -1.481 1.224
O 2.801 -1.481 3.550
```

Output
Space-group type: No. 12
Calculated total energy: -7.62 eV per atom

---

Record 8
InRh2Br: optimized geometry, PBEsol.

extended XYZ file:
```
4
Lattice="1.551 0.896 8.062 -1.551 0.896 8.062 0.000 -1.791 8.062" Properties=species:S:1:pos:R:3 pbc="T T T"
In 0.000 0.000 0.000
Rh 0.000 0.000 6.013
Rh 0.000 0.000 18.172
Br 0.000 0.000 12.093
```

Output
Space-group type: No. 166
Calculated total energy: -5.14 eV per atom

---

Record 9
Ir2RuW: optimized geometry, PBEsol.

extended XYZ file:
```
4
Lattice="3.825 0.000 0.000 0.000 3.825 0.000 0.000 0.000 3.870" Properties=species:S:1:pos:R:3 pbc="T T T"
Ir 0.000 1.913 0.000
Ir 1.913 0.000 0.000
Ru 0.000 0.000 1.935
W 1.913 1.913 1.935
```

Output
Space-group type: No. 123
Formation energy from the elements: -0.2747 eV per atom
Calculated total energy: -11.18 eV per atom

---

Record 10
SbTeMo2: optimized geometry, PBEsol.

extended XYZ file:
```
4
Lattice="3.146 -4.271 0.000 3.146 4.271 0.000 -1.384 0.000 2.832" Properties=species:S:1:pos:R:3 pbc="T T T"
Sb 0.000 0.000 0.000
Te 3.146 0.000 0.000
Mo 0.881 2.136 1.416
Mo 0.881 -2.136 1.416
```

Output
Space-group type: No. 12
Calculated total energy: -7.19 eV per atom

---

Record 11
FeNCl2: optimized geometry, PBEsol.

extended XYZ file:
```
8
Lattice="-3.356 3.356 4.659 3.356 -3.356 4.659 3.356 3.356 -4.659" Properties=species:S:1:pos:R:3 pbc="T T T"
Fe 0.000 0.000 0.000
Fe 0.000 3.356 2.330
N 3.356 0.000 2.330
N 0.000 0.000 4.659
Cl 1.678 0.964 -1.165
Cl 2.393 -1.678 5.824
Cl 1.678 2.393 3.494
Cl 0.964 5.035 1.165
```

Output
Space-group type: No. 122
Calculated total energy: -4.46 eV per atom

---

Record 12
LaCoN2: optimized geometry, PBEsol.

extended XYZ file:
```
4
Lattice="1.998 1.153 5.132 -1.998 1.153 5.132 0.000 -2.307 5.132" Properties=species:S:1:pos:R:3 pbc="T T T"
La 0.000 0.000 0.000
Co 0.000 0.000 7.698
N 0.000 0.000 6.056
N 0.000 0.000 9.341
```

Output
Space-group type: No. 166
Calculated total energy: -7.85 eV per atom

---

Record 13
Ta2CrP: optimized geometry, PBEsol.

extended XYZ file:
```
4
Lattice="1.574 0.909 7.190 -1.574 0.909 7.190 0.000 -1.818 7.190" Properties=species:S:1:pos:R:3 pbc="T T T"
Ta 0.000 0.000 0.000
Ta 0.000 0.000 4.990
Cr 0.000 0.000 10.209
P 0.000 0.000 16.061
```

Output
Space-group type: No. 160
Formation energy from the elements: -0.0453 eV per atom
Calculated total energy: -10.33 eV per atom

---

no.,D(E_F) (states/eV per cell)
1,4.4
2,0.0
3,1.5
4,7.9
5,0.0
6,4.8
7,0.4
8,3.9
9,2.1
10,4.0
11,10.0
12,4.1
13,2.6